1.
Y2PPb after structural relaxation. Source: the Alexandria database, functional PBE.

Properties
ΔE_f: -0.82 eV/atom
DFT total energy: -25.32 eV per cell

abc: 4.248 4.248 6.014
angles: 90.00 90.00 90.00
Atoms (fractional coordinates):
Y 0.000 0.000 0.000
Y 0.500 0.500 0.500
P 0.000 0.000 0.500
Pb 0.500 0.500 0.000



2.
CsSb after structural relaxation. Source: the Alexandria database, functional PBE.

Properties
DFT total energy: -11.53 eV per cell
uncorrected formation energy: -0.394 eV/atom

abc: 7.270 7.270 7.270
angles: 144.49 74.46 116.99
Atoms (fractional coordinates):
Cs 0.202 0.000 0.202
Cs 0.798 0.000 0.798
Sb 0.292 0.792 0.500
Sb 0.543 0.543 0.000



3.
Te2MoPbN after structural relaxation. Source: the Alexandria database, functional PBE.

Properties
DFT total energy: -21.13 eV per cell
uncorrected formation energy: 1.604 eV/atom

abc: 5.877 5.877 4.173
angles: 90.00 90.00 90.00
Atoms (fractional coordinates):
Te 0.000 0.500 0.000
Te 0.500 0.000 0.000
Mo 0.000 0.000 0.500
Pb 0.500 0.500 0.000
N 0.500 0.500 0.500



4.
TiP2Rh2 after structural relaxation. Source: the Alexandria database, functional PBE.

Properties
ΔE_f: -0.53 eV/atom
DFT total energy: -72.12 eV per cell

abc: 6.961 6.961 2.882
angles: 90.00 90.00 90.00
Atoms (fractional coordinates):
Ti 0.000 0.000 0.000
Ti 0.500 0.500 0.000
P 0.159 0.341 0.000
P 0.341 0.841 0.000
P 0.659 0.159 0.000
P 0.841 0.659 0.000
Rh 0.146 0.646 0.500
Rh 0.354 0.146 0.500
Rh 0.646 0.854 0.500
Rh 0.854 0.354 0.500